[1]
Computed, not measured: a relaxed Be2TlCoBr crystal at the PBE level of DFT.

Results
Symmetry: P4/mmm, No. 123
Total energy (eV/atom): -2.47
Formation energy without anion corrections (meV/atom): 1248

Unit cell a=4.4892 b=4.4790 c=4.4892 alpha=90.00 beta=90.00 gamma=90.00
Closest atoms and distances in Å follow each position.
Fractional positions:
Co: 0.0000 0.5000 0.0000  2 Br 2.24
Be: 0.0000 0.0000 0.5000  2 Br 2.24
Be: 0.5000 0.0000 0.0000  2 Br 2.24
Br: 0.0000 0.0000 0.0000  2 Co 2.24, 4 Be 2.24
Tl: 0.5000 0.5000 0.5000  8 Be 3.17, 4 Co 3.17

[2]
Computed, not measured: a relaxed K2LiPuI5 crystal at the PBE level of DFT.

Results
Symmetry: Cmc2_1, No. 36
Total energy (eV/atom): -4.17
Formation energy without anion corrections (meV/atom): -1255

Unit cell a=4.6826 b=10.6510 c=15.2813 alpha=90.00 beta=90.00 gamma=102.70
Closest atoms and distances in Å follow each position.
Fractional positions:
I: 0.3052 0.6103 0.3817  1 Li 2.89, 2 Pu 3.23
I: 0.5011 0.0023 0.7773  1 Li 2.71
I: 0.9482 0.8964 0.5325  2 Li 2.79
I: 0.6407 0.2814 0.5038  1 Pu 3.19
I: 0.3593 0.7186 0.0038  1 Pu 3.19
I: 0.4989 0.9977 0.2773  1 Li 2.71
I: 0.0518 0.1036 0.0325  2 Li 2.79
I: 0.6948 0.3897 0.8817  1 Li 2.89, 2 Pu 3.23
I: 0.2854 0.5707 0.6717  2 Pu 3.23
I: 0.7146 0.4293 0.1717  2 Pu 3.23
Li: 0.5615 0.1229 0.9344  4 I 2.71-2.89
Li: 0.4385 0.8771 0.4344  4 I 2.71-2.89
K: 0.1022 0.2045 0.6733  6 I 3.52-3.86
K: 0.1225 0.2450 0.3225  7 I 3.54-3.90
K: 0.8775 0.7550 0.8225  7 I 3.54-3.90
K: 0.8978 0.7955 0.1733  6 I 3.52-3.86
Pu: 0.7935 0.5869 0.5267  6 I 3.19-3.23
Pu: 0.2065 0.4131 0.0267  6 I 3.19-3.23

[3]
Computed, not measured: a relaxed Rb3TiBr crystal at the PBE level of DFT.

Results
Distance to the lowest polymorph of the same formula (meV per atom): 0
Symmetry: Pm-3m, No. 221
Total energy (eV/atom): -2.37
Formation energy without anion corrections (meV/atom): 124

Unit cell a=6.6451 b=6.6451 c=6.6451 alpha=90.00 beta=90.00 gamma=90.00
Closest atoms and distances in Å follow each position.
Fractional positions:
Rb: 0.0000 0.5000 0.0000  2 Br 3.32
Rb: 0.5000 0.0000 0.0000  2 Br 3.32
Rb: 0.0000 0.0000 0.5000  2 Br 3.32
Br: 0.0000 0.0000 0.0000  6 Rb 3.32
Ti: 0.5000 0.5000 0.5000  12 Rb 4.70

[4]
Computed, not measured: a relaxed Li2CrSbAu crystal at the PBE level of DFT.

Results
Symmetry: P4/mmm, No. 123
Total energy (eV/atom): -3.62
Formation energy without anion corrections (meV/atom): 548

Unit cell a=4.7395 b=4.9817 c=4.7395 alpha=90.00 beta=90.00 gamma=90.00
Closest atoms and distances in Å follow each position.
Fractional positions:
Cr: 0.0000 0.0000 0.0000  4 Li 2.37, 2 Au 2.49
Sb: 0.5000 0.5000 0.5000  4 Au 3.35, 8 Li 3.44
Li: 0.0000 0.0000 0.5000  2 Cr 2.37
Li: 0.5000 0.0000 0.0000  2 Cr 2.37
Au: 0.0000 0.5000 0.0000  2 Cr 2.49

Repeat the first record exactly.
Computed, not measured: a relaxed Be2TlCoBr crystal at the PBE level of DFT.

Results
Symmetry: P4/mmm, No. 123
Total energy (eV/atom): -2.47
Formation energy without anion corrections (meV/atom): 1248

Unit cell a=4.4892 b=4.4790 c=4.4892 alpha=90.00 beta=90.00 gamma=90.00
Closest atoms and distances in Å follow each position.
Fractional positions:
Co: 0.0000 0.5000 0.0000  2 Br 2.24
Be: 0.0000 0.0000 0.5000  2 Br 2.24
Be: 0.5000 0.0000 0.0000  2 Br 2.24
Br: 0.0000 0.0000 0.0000  2 Co 2.24, 4 Be 2.24
Tl: 0.5000 0.5000 0.5000  8 Be 3.17, 4 Co 3.17

> formation energy without anion corrections of number 4 (Li2CrSbAu)?

548 meV/atom